# 1
A plane-wave DFT calculation with GGA-PBE was carried out for an optimized crystal structure of Li2CeCl5.

## Properties
Volume (Å³ per cell): 396
Formation energy from raw total energies (meV/atom): -1985
Crystal system: orthorhombic
Mass density (g/cm³): 2.781

Unit cell a=4.104 b=6.339 c=15.207 alpha=90.00 beta=90.00 gamma=90.00
Sites, in units of the cell vectors:
Li (0.500, 0.579, 0.335)
Li (0.000, 0.421, 0.165)
Li (0.500, 0.579, 0.665)
Li (0.000, 0.421, 0.835)
Ce (0.000, 0.142, 0.500)
Ce (0.500, 0.858, 0.000)
Cl (0.500, 0.949, 0.391)
Cl (0.000, 0.550, 0.000)
Cl (0.000, 0.051, 0.109)
Cl (0.500, 0.450, 0.500)
Cl (0.000, 0.051, 0.891)
Cl (0.500, 0.949, 0.609)
Cl (0.500, 0.624, 0.171)
Cl (0.500, 0.624, 0.829)
Cl (0.000, 0.376, 0.329)
Cl (0.000, 0.376, 0.671)

***

# 2
A plane-wave DFT calculation with GGA-PBE was carried out for an optimized crystal structure of Pm2TiSi3Rh4.

## Properties
Volume (Å³ per cell): 175
Formation energy from raw total energies (meV/atom): -1020
Crystal system: tetragonal
Mass density (g/cm³): 7.896

Unit cell a=4.119 b=4.119 c=10.336 alpha=90.00 beta=90.00 gamma=90.00
Sites, in units of the cell vectors:
Pm (0.500, 0.000, 0.244)
Pm (0.000, 0.500, 0.756)
Ti (0.500, 0.500, 0.500)
Si (0.000, 0.000, 0.500)
Si (0.500, 0.000, 0.876)
Si (0.000, 0.500, 0.124)
Rh (0.500, 0.500, 0.000)
Rh (0.000, 0.000, 0.000)
Rh (0.500, 0.000, 0.640)
Rh (0.000, 0.500, 0.360)

***

# 3
A plane-wave DFT calculation with GGA-PBE was carried out for an optimized crystal structure of Re3RuC.

## Properties
Volume (Å³ per cell): 100
Energy above the lowest structure with this stoichiometry (kJ per mole of atoms): 307.6
Formation enthalpy at 0 K (eV per atom): 3.504
Crystal system: cubic
Mass density (g/cm³): 11.162

Unit cell a=4.640 b=4.640 c=4.640 alpha=90.00 beta=90.00 gamma=90.00
Sites, in units of the cell vectors:
Re (0.000, 0.500, 0.000)
Re (0.000, 0.000, 0.500)
Re (0.500, 0.000, 0.000)
C (0.500, 0.500, 0.500)
Ru (0.000, 0.000, 0.000)

***

# 4
A plane-wave DFT calculation with GGA-PBE was carried out for an optimized crystal structure of Sr2CdBr.

## Properties
Volume (Å³ per cell): 142
Energy above the lowest structure with this stoichiometry (kJ per mole of atoms): 21.8
Formation energy from raw total energies (meV/atom): -648
Crystal system: cubic
Mass density (g/cm³): 4.307

Unit cell a=5.852 b=5.852 c=5.852 alpha=60.00 beta=60.00 gamma=60.00
Sites, in units of the cell vectors:
Sr (0.250, 0.250, 0.250)
Sr (0.750, 0.750, 0.750)
Br (0.000, 0.000, 0.000)
Cd (0.500, 0.500, 0.500)

***

# 5
A plane-wave DFT calculation with GGA-PBE was carried out for an optimized crystal structure of InNiCl3.

## Properties
Volume (Å³ per cell): 143
Energy above the lowest structure with this stoichiometry (kJ per mole of atoms): 60.4
Formation energy from raw total energies (meV/atom): 39
Crystal system: cubic
Mass density (g/cm³): 3.246

Unit cell a=5.232 b=5.232 c=5.232 alpha=90.00 beta=90.00 gamma=90.00
Sites, in units of the cell vectors:
Ni (0.500, 0.500, 0.500)
Cl (0.000, 0.500, 0.000)
Cl (0.000, 0.000, 0.500)
Cl (0.500, 0.000, 0.000)
In (0.000, 0.000, 0.000)

***

# 6
A plane-wave DFT calculation with GGA-PBE was carried out for an optimized crystal structure of Pm6AgPb2.

## Properties
Volume (Å³ per cell): 281
Formation enthalpy at 0 K (eV per atom): -0.317
Crystal system: hexagonal
Mass density (g/cm³): 8.229

Unit cell a=4.359 b=8.627 c=8.627 alpha=120.00 beta=90.00 gamma=90.00
Sites, in units of the cell vectors:
Pm (0.500, 0.592, 0.000)
Pm (0.500, 0.408, 0.408)
Pm (0.500, 0.000, 0.592)
Pm (0.000, 0.255, 0.000)
Pm (0.000, 0.745, 0.745)
Pm (0.000, 0.000, 0.255)
Ag (0.500, 0.000, 0.000)
Pb (0.000, 0.333, 0.667)
Pb (0.000, 0.667, 0.333)

***

# 7
A plane-wave DFT calculation with GGA-PBE was carried out for an optimized crystal structure of Sc3CrAg.

## Properties
Volume (Å³ per cell): 137
Energy above the lowest structure with this stoichiometry (kJ per mole of atoms): 32.5
Formation enthalpy at 0 K (eV per atom): 0.729
Crystal system: cubic
Mass density (g/cm³): 3.578

Unit cell a=5.152 b=5.152 c=5.152 alpha=90.00 beta=90.00 gamma=90.00
Sites, in units of the cell vectors:
Sc (0.000, 0.500, 0.000)
Sc (0.000, 0.000, 0.500)
Sc (0.500, 0.000, 0.000)
Cr (0.500, 0.500, 0.500)
Ag (0.000, 0.000, 0.000)

***

# 8
A plane-wave DFT calculation with GGA-PBE was carried out for an optimized crystal structure of Sm6CoHg2.

## Properties
Volume (Å³ per cell): 534
Formation enthalpy at 0 K (eV per atom): -0.210
Crystal system: monoclinic
Mass density (g/cm³): 8.469

Unit cell a=7.114 b=7.273 c=10.325 alpha=90.00 beta=90.73 gamma=90.00
Sites, in units of the cell vectors:
Sm (0.900, 0.997, 0.251)
Sm (0.799, 0.701, 0.548)
Sm (0.800, 0.703, 0.955)
Sm (0.700, 0.203, 0.545)
Sm (0.701, 0.201, 0.952)
Sm (0.600, 0.497, 0.249)
Sm (0.100, 0.003, 0.749)
Sm (0.201, 0.299, 0.452)
Sm (0.200, 0.297, 0.045)
Sm (0.300, 0.797, 0.455)
Sm (0.299, 0.799, 0.048)
Sm (0.400, 0.503, 0.751)
Co (0.500, 0.500, 0.000)
Co (0.000, 0.000, 0.500)
Hg (0.972, 0.427, 0.754)
Hg (0.528, 0.927, 0.746)
Hg (0.472, 0.073, 0.254)
Hg (0.028, 0.573, 0.246)

***

# 9
A plane-wave DFT calculation with GGA-PBE was carried out for an optimized crystal structure of ZrRh2NO.

## Properties
Volume (Å³ per cell): 74
Formation energy from raw total energies (meV/atom): 219
Crystal system: tetragonal
Mass density (g/cm³): 7.363

Unit cell a=3.732 b=5.296 c=3.732 alpha=90.00 beta=90.00 gamma=90.00
Sites, in units of the cell vectors:
Rh (0.000, 0.000, 0.500)
Rh (0.500, 0.000, 0.000)
O (0.000, 0.000, 0.000)
Zr (0.500, 0.500, 0.500)
N (0.000, 0.500, 0.000)

***

# 10
A plane-wave DFT calculation with GGA-PBE was carried out for an optimized crystal structure of Li2YTm2Sb2.

## Properties
Volume (Å³ per cell): 168
Formation energy from raw total energies (meV/atom): -517
Crystal system: trigonal
Mass density (g/cm³): 6.764

Unit cell a=4.695 b=4.695 c=9.205 alpha=75.22 beta=75.22 gamma=60.00
Sites, in units of the cell vectors:
Li (0.592, 0.592, 0.223)
Li (0.408, 0.408, 0.777)
Y (0.000, 0.000, 0.000)
Tm (0.131, 0.131, 0.606)
Tm (0.869, 0.869, 0.394)
Sb (0.736, 0.736, 0.793)
Sb (0.264, 0.264, 0.207)

***

# 11
A plane-wave DFT calculation with GGA-PBE was carried out for an optimized crystal structure of Ac12Nd7Dy.

## Properties
Volume (Å³ per cell): 842
Formation enthalpy at 0 K (eV per atom): 0.183
Crystal system: trigonal
Mass density (g/cm³): 7.686

Unit cell a=6.701 b=12.249 c=12.249 alpha=116.75 beta=100.51 gamma=100.51
Sites, in units of the cell vectors:
Ac (0.088, 0.587, 0.175)
Ac (0.087, 0.175, 0.588)
Ac (0.569, 0.654, 0.000)
Ac (0.431, 0.000, 0.346)
Ac (0.499, 0.412, 0.587)
Ac (0.085, 0.654, 0.654)
Ac (0.915, 0.346, 0.346)
Ac (0.501, 0.588, 0.413)
Ac (0.569, 0.000, 0.654)
Ac (0.431, 0.346, 0.000)
Ac (0.913, 0.825, 0.412)
Ac (0.912, 0.413, 0.825)
Nd (0.109, 0.757, 0.000)
Nd (0.891, 0.000, 0.243)
Nd (0.648, 0.757, 0.757)
Nd (0.500, 0.000, 0.000)
Nd (0.352, 0.243, 0.243)
Nd (0.109, 0.000, 0.757)
Nd (0.891, 0.243, 0.000)
Dy (0.000, 0.000, 0.000)

***

# 12
A plane-wave DFT calculation with GGA-PBE was carried out for an optimized crystal structure of YErAu.

## Properties
Volume (Å³ per cell): 86
Energy above the lowest structure with this stoichiometry (kJ per mole of atoms): 10.9
Formation enthalpy at 0 K (eV per atom): -0.461
Crystal system: cubic
Mass density (g/cm³): 8.738

Unit cell a=4.957 b=4.957 c=4.957 alpha=60.00 beta=60.00 gamma=60.00
Sites, in units of the cell vectors:
Y (0.000, 0.000, 0.000)
Au (0.250, 0.250, 0.250)
Er (0.500, 0.500, 0.500)